Record 1
# AlTcB3 (GGA-PBEsol, relaxed)
# E_form = 2106 meV per atom
# SG = Pm-3m, No. 221
data_AlTcB3
_cell_length_a 3.9370
_cell_length_b 3.9370
_cell_length_c 3.9370
_cell_angle_alpha 90.00
_cell_angle_beta 90.00
_cell_angle_gamma 90.00
_symmetry_space_group_name_H-M 'P 1'
_symmetry_Int_Tables_number 1
loop_
_symmetry_equiv_pos_as_xyz
'x,y,z'
loop_
_atom_site_label
_atom_site_type_symbol
_atom_site_fract_x
_atom_site_fract_y
_atom_site_fract_z
Al1 Al 0.0000 0.0000 0.0000
Tc1 Tc 0.5000 0.5000 0.5000
B1 B 0.0000 0.0000 0.5000
B2 B 0.0000 0.5000 0.0000
B3 B 0.5000 0.0000 0.0000


Record 2
# AlTc2B2 (GGA-PBEsol, relaxed)
# E_form = -494 meV per atom
# SG = P4/mbm, No. 127
data_AlTc2B2
_cell_length_a 5.8412
_cell_length_b 5.8412
_cell_length_c 2.9837
_cell_angle_alpha 90.00
_cell_angle_beta 90.00
_cell_angle_gamma 90.00
_symmetry_space_group_name_H-M 'P 1'
_symmetry_Int_Tables_number 1
loop_
_symmetry_equiv_pos_as_xyz
'x,y,z'
loop_
_atom_site_label
_atom_site_type_symbol
_atom_site_fract_x
_atom_site_fract_y
_atom_site_fract_z
Al1 Al 0.0000 0.0000 0.0000
Al2 Al 0.5000 0.5000 0.0000
Tc1 Tc 0.1745 0.3255 0.5000
Tc2 Tc 0.3255 0.8255 0.5000
Tc3 Tc 0.6745 0.1745 0.5000
Tc4 Tc 0.8255 0.6745 0.5000
B1 B 0.1126 0.6126 0.0000
B2 B 0.3874 0.1126 0.0000
B3 B 0.6126 0.8874 0.0000
B4 B 0.8874 0.3874 0.0000


Record 3
# AlTc3B (GGA-PBEsol, relaxed)
# E_form = 2337 meV per atom
# SG = Pm-3m, No. 221
data_AlTc3B
_cell_length_a 4.3166
_cell_length_b 4.3166
_cell_length_c 4.3166
_cell_angle_alpha 90.00
_cell_angle_beta 90.00
_cell_angle_gamma 90.00
_symmetry_space_group_name_H-M 'P 1'
_symmetry_Int_Tables_number 1
loop_
_symmetry_equiv_pos_as_xyz
'x,y,z'
loop_
_atom_site_label
_atom_site_type_symbol
_atom_site_fract_x
_atom_site_fract_y
_atom_site_fract_z
Al1 Al 0.0000 0.0000 0.0000
Tc1 Tc 0.0000 0.0000 0.5000
Tc2 Tc 0.0000 0.5000 0.0000
Tc3 Tc 0.5000 0.0000 0.0000
B1 B 0.5000 0.5000 0.5000


Record 4
# Ti2AlB (GGA-PBEsol, relaxed)
# E_form = 112 meV per atom
# SG = Fm-3m, No. 225
data_Ti2AlB
_cell_length_a 4.2027
_cell_length_b 4.2027
_cell_length_c 4.2027
_cell_angle_alpha 60.00
_cell_angle_beta 60.00
_cell_angle_gamma 60.00
_symmetry_space_group_name_H-M 'P 1'
_symmetry_Int_Tables_number 1
loop_
_symmetry_equiv_pos_as_xyz
'x,y,z'
loop_
_atom_site_label
_atom_site_type_symbol
_atom_site_fract_x
_atom_site_fract_y
_atom_site_fract_z
Ti1 Ti 0.2500 0.2500 0.2500
Ti2 Ti 0.7500 0.7500 0.7500
Al1 Al 0.0000 0.0000 0.0000
B1 B 0.5000 0.5000 0.5000


Record 5
# AlBW (GGA-PBEsol, relaxed)
# E_form = -340 meV per atom
# SG = Cmcm, No. 63
data_AlBW
_cell_length_a 7.1476
_cell_length_b 7.1476
_cell_length_c 3.0990
_cell_angle_alpha 90.00
_cell_angle_beta 90.00
_cell_angle_gamma 154.17
_symmetry_space_group_name_H-M 'P 1'
_symmetry_Int_Tables_number 1
loop_
_symmetry_equiv_pos_as_xyz
'x,y,z'
loop_
_atom_site_label
_atom_site_type_symbol
_atom_site_fract_x
_atom_site_fract_y
_atom_site_fract_z
Al1 Al 0.1996 0.8004 0.7500
Al2 Al 0.8004 0.1996 0.2500
B1 B 0.0343 0.9657 0.7500
B2 B 0.9657 0.0343 0.2500
W1 W 0.4099 0.5901 0.7500
W2 W 0.5901 0.4099 0.2500


Record 6
# AlZnB3 (GGA-PBEsol, relaxed)
# E_form = 1802 meV per atom
# SG = Pm-3m, No. 221
data_AlZnB3
_cell_length_a 3.9998
_cell_length_b 3.9998
_cell_length_c 3.9998
_cell_angle_alpha 90.00
_cell_angle_beta 90.00
_cell_angle_gamma 90.00
_symmetry_space_group_name_H-M 'P 1'
_symmetry_Int_Tables_number 1
loop_
_symmetry_equiv_pos_as_xyz
'x,y,z'
loop_
_atom_site_label
_atom_site_type_symbol
_atom_site_fract_x
_atom_site_fract_y
_atom_site_fract_z
Al1 Al 0.0000 0.0000 0.0000
Zn1 Zn 0.5000 0.5000 0.5000
B1 B 0.0000 0.5000 0.5000
B2 B 0.5000 0.0000 0.5000
B3 B 0.5000 0.5000 0.0000


Record 7
# Ba3Al (GGA-PBEsol, relaxed)
# E_form = 90 meV per atom
# SG = P2/m, No. 10
data_Ba3Al
_cell_length_a 4.3170
_cell_length_b 5.5223
_cell_length_c 7.5370
_cell_angle_alpha 90.00
_cell_angle_beta 105.29
_cell_angle_gamma 90.00
_symmetry_space_group_name_H-M 'P 1'
_symmetry_Int_Tables_number 1
loop_
_symmetry_equiv_pos_as_xyz
'x,y,z'
loop_
_atom_site_label
_atom_site_type_symbol
_atom_site_fract_x
_atom_site_fract_y
_atom_site_fract_z
Ba1 Ba 0.0000 0.0000 0.0000
Ba2 Ba 0.3997 0.5000 0.7138
Ba3 Ba 0.6003 0.5000 0.2862
Al1 Al 0.0000 0.0000 0.5000


Record 8
# Ba4Al5 (GGA-PBEsol, relaxed)
# E_form = -5 meV per atom
# SG = I4/mmm, No. 139
# Polymorph energy (0 for the lowest one) = 230 meV per atom
data_Ba4Al5
_cell_length_a 8.9563
_cell_length_b 8.9563
_cell_length_c 8.9563
_cell_angle_alpha 93.31
_cell_angle_beta 93.31
_cell_angle_gamma 152.18
_symmetry_space_group_name_H-M 'P 1'
_symmetry_Int_Tables_number 1
loop_
_symmetry_equiv_pos_as_xyz
'x,y,z'
loop_
_atom_site_label
_atom_site_type_symbol
_atom_site_fract_x
_atom_site_fract_y
_atom_site_fract_z
Ba1 Ba 0.0000 0.2876 0.2876
Ba2 Ba 0.0000 0.7124 0.7124
Ba3 Ba 0.2876 0.0000 0.2876
Ba4 Ba 0.7124 0.0000 0.7124
Al1 Al 0.0000 0.0000 0.0000
Al2 Al 0.3900 0.3900 0.7799
Al3 Al 0.3900 0.6100 0.0000
Al4 Al 0.6100 0.3900 0.0000
Al5 Al 0.6100 0.6100 0.2201


Record 9
# BaAl (GGA-PBEsol, relaxed)
# E_form = -143 meV per atom
# SG = Imma, No. 74
data_BaAl
_cell_length_a 6.3386
_cell_length_b 6.3386
_cell_length_c 6.3386
_cell_angle_alpha 140.11
_cell_angle_beta 126.54
_cell_angle_gamma 68.73
_symmetry_space_group_name_H-M 'P 1'
_symmetry_Int_Tables_number 1
loop_
_symmetry_equiv_pos_as_xyz
'x,y,z'
loop_
_atom_site_label
_atom_site_type_symbol
_atom_site_fract_x
_atom_site_fract_y
_atom_site_fract_z
Ba1 Ba 0.3434 0.0934 0.2500
Ba2 Ba 0.6566 0.9066 0.7500
Al1 Al 0.0697 0.3197 0.7500
Al2 Al 0.9303 0.6803 0.2500


Record 10
# Ba4Al5 (GGA-PBEsol, relaxed)
# E_form = -235 meV per atom
# SG = P6_3/mmc, No. 194
# Polymorph energy (0 for the lowest one) = 0 meV per atom
data_Ba4Al5
_cell_length_a 6.0225
_cell_length_b 6.0225
_cell_length_c 17.6855
_cell_angle_alpha 90.00
_cell_angle_beta 90.00
_cell_angle_gamma 120.00
_symmetry_space_group_name_H-M 'P 1'
_symmetry_Int_Tables_number 1
loop_
_symmetry_equiv_pos_as_xyz
'x,y,z'
loop_
_atom_site_label
_atom_site_type_symbol
_atom_site_fract_x
_atom_site_fract_y
_atom_site_fract_z
Ba1 Ba 0.0000 0.0000 0.1423
Ba2 Ba 0.0000 0.0000 0.3577
Ba3 Ba 0.0000 0.0000 0.6423
Ba4 Ba 0.0000 0.0000 0.8577
Ba5 Ba 0.3333 0.6667 0.0711
Ba6 Ba 0.3333 0.6667 0.4289
Ba7 Ba 0.6667 0.3333 0.5711
Ba8 Ba 0.6667 0.3333 0.9289
Al1 Al 0.0169 0.5084 0.2500
Al2 Al 0.3333 0.6667 0.6353
Al3 Al 0.3333 0.6667 0.8647
Al4 Al 0.4916 0.5084 0.2500
Al5 Al 0.4916 0.9831 0.2500
Al6 Al 0.5084 0.0169 0.7500
Al7 Al 0.5084 0.4916 0.7500
Al8 Al 0.6667 0.3333 0.1353
Al9 Al 0.6667 0.3333 0.3647
Al10 Al 0.9831 0.4916 0.7500


Record 11
# Ba3Al (GGA-PBEsol, relaxed)
# E_form = -32 meV per atom
# SG = P4/mmm, No. 123
data_Ba3Al
_cell_length_a 4.1783
_cell_length_b 4.1783
_cell_length_c 10.4568
_cell_angle_alpha 90.00
_cell_angle_beta 90.00
_cell_angle_gamma 90.00
_symmetry_space_group_name_H-M 'P 1'
_symmetry_Int_Tables_number 1
loop_
_symmetry_equiv_pos_as_xyz
'x,y,z'
loop_
_atom_site_label
_atom_site_type_symbol
_atom_site_fract_x
_atom_site_fract_y
_atom_site_fract_z
Ba1 Ba 0.0000 0.0000 0.0000
Ba2 Ba 0.5000 0.5000 0.3221
Ba3 Ba 0.5000 0.5000 0.6779
Al1 Al 0.0000 0.0000 0.5000


Record 12
# BaAl (GGA-PBEsol, relaxed)
# E_form = 259 meV per atom
# SG = R-3m, No. 166
data_BaAl
_cell_length_a 5.7660
_cell_length_b 5.7660
_cell_length_c 5.7660
_cell_angle_alpha 40.00
_cell_angle_beta 40.00
_cell_angle_gamma 40.00
_symmetry_space_group_name_H-M 'P 1'
_symmetry_Int_Tables_number 1
loop_
_symmetry_equiv_pos_as_xyz
'x,y,z'
loop_
_atom_site_label
_atom_site_type_symbol
_atom_site_fract_x
_atom_site_fract_y
_atom_site_fract_z
Ba1 Ba 0.0000 0.0000 0.0000
Al1 Al 0.5000 0.5000 0.5000


Record 13
# Ba7Al13 (GGA-PBEsol, relaxed)
# E_form = -232 meV per atom
# SG = P-3m1, No. 164
data_Ba7Al13
_cell_length_a 5.9814
_cell_length_b 5.9814
_cell_length_c 17.0272
_cell_angle_alpha 90.00
_cell_angle_beta 90.00
_cell_angle_gamma 120.00
_symmetry_space_group_name_H-M 'P 1'
_symmetry_Int_Tables_number 1
loop_
_symmetry_equiv_pos_as_xyz
'x,y,z'
loop_
_atom_site_label
_atom_site_type_symbol
_atom_site_fract_x
_atom_site_fract_y
_atom_site_fract_z
Ba1 Ba 0.0000 0.0000 0.0000
Ba2 Ba 0.0000 0.0000 0.3938
Ba3 Ba 0.0000 0.0000 0.6062
Ba4 Ba 0.3333 0.6667 0.6781
Ba5 Ba 0.3333 0.6667 0.8915
Ba6 Ba 0.6667 0.3333 0.1085
Ba7 Ba 0.6667 0.3333 0.3219
Al1 Al 0.0000 0.5000 0.5000
Al2 Al 0.1614 0.3227 0.2158
Al3 Al 0.1614 0.8386 0.2158
Al4 Al 0.3227 0.1614 0.7842
Al5 Al 0.3333 0.6667 0.0961
Al6 Al 0.3333 0.6667 0.3505
Al7 Al 0.5000 0.0000 0.5000
Al8 Al 0.5000 0.5000 0.5000
Al9 Al 0.6667 0.3333 0.6495
Al10 Al 0.6667 0.3333 0.9039
Al11 Al 0.6773 0.8386 0.2158
Al12 Al 0.8386 0.1614 0.7842
Al13 Al 0.8386 0.6773 0.7842